Run i
First-principles (PBE) data for a relaxed TlNiSnAu2 crystal, as listed in Alexandria via LeMat-Bulk.

```
data_TlNiSnAu2
_chemical_formula_sum 'Tl1 Ni1 Sn1 Au2'
_cell_length_a 5.043
_cell_length_b 5.043
_cell_length_c 4.725
_cell_angle_alpha 90.00
_cell_angle_beta 90.00
_cell_angle_gamma 90.00
_symmetry_space_group_name_H-M 'P 4/m m m'
_symmetry_Int_Tables_number 123
_symmetry_space_group_name_Hall '-P 4 2'
loop_
_atom_site_label
_atom_site_type_symbol
_atom_site_fract_x
_atom_site_fract_y
_atom_site_fract_z
Tl1 Tl 0.000 0.000 0.000
Ni1 Ni 0.500 0.500 0.500
Sn1 Sn 0.500 0.500 0.000
Au1 Au 0.000 0.500 0.500
```

- Spin magnetization: 0.00 μB/f.u.
- V: 24.03 Å³ per atom


Run ii
First-principles (PBE) data for a relaxed TlNiSnAu2 crystal, as listed in Alexandria via LeMat-Bulk.

```
data_TlNiSnAu2
_chemical_formula_sum 'Tl1 Ni1 Sn1 Au2'
_cell_length_a 5.237
_cell_length_b 5.237
_cell_length_c 4.864
_cell_angle_alpha 90.00
_cell_angle_beta 90.00
_cell_angle_gamma 90.00
_symmetry_space_group_name_H-M 'P 4/m m m'
_symmetry_Int_Tables_number 123
_symmetry_space_group_name_Hall '-P 4 2'
loop_
_atom_site_label
_atom_site_type_symbol
_atom_site_fract_x
_atom_site_fract_y
_atom_site_fract_z
Tl1 Tl 0.000 0.000 0.000
Ni1 Ni 0.000 0.000 0.500
Sn1 Sn 0.500 0.500 0.500
Au1 Au 0.000 0.500 0.000
```

- Spin magnetization: 0.00 μB/f.u.
- V: 26.68 Å³ per atom


Which one sits at the bottom of the stability order? run ii does.


Run i
First-principles (PBE) data for a relaxed SrNi3Au crystal, as listed in Alexandria via LeMat-Bulk.

```
data_SrNi3Au
_chemical_formula_sum 'Sr1 Ni3 Au1'
_cell_length_a 4.662
_cell_length_b 4.662
_cell_length_c 4.662
_cell_angle_alpha 90.00
_cell_angle_beta 90.00
_cell_angle_gamma 90.00
_symmetry_space_group_name_H-M 'P m -3 m'
_symmetry_Int_Tables_number 221
_symmetry_space_group_name_Hall '-P 4 2 3'
loop_
_atom_site_label
_atom_site_type_symbol
_atom_site_fract_x
_atom_site_fract_y
_atom_site_fract_z
Sr1 Sr 0.000 0.000 0.000
Ni1 Ni 0.000 0.000 0.500
Au1 Au 0.500 0.500 0.500
```

- Spin magnetization: 0.00 μB/f.u.
- V: 20.26 Å³ per atom


Run ii
First-principles (PBE) data for a relaxed SrNi3Au crystal, as listed in Alexandria via LeMat-Bulk.

```
data_SrNi3Au
_chemical_formula_sum 'Sr1 Ni3 Au1'
_cell_length_a 4.779
_cell_length_b 4.779
_cell_length_c 4.779
_cell_angle_alpha 90.00
_cell_angle_beta 90.00
_cell_angle_gamma 90.00
_symmetry_space_group_name_H-M 'P m -3 m'
_symmetry_Int_Tables_number 221
_symmetry_space_group_name_Hall '-P 4 2 3'
loop_
_atom_site_label
_atom_site_type_symbol
_atom_site_fract_x
_atom_site_fract_y
_atom_site_fract_z
Sr1 Sr 0.000 0.000 0.000
Ni1 Ni 0.000 0.500 0.500
Au1 Au 0.500 0.500 0.500
```

- Spin magnetization: 0.59 μB/f.u.
- V: 21.83 Å³ per atom


Which one sits at the bottom of the stability order? run i does.